1.
Material: Rb2InGa
Method: DFT, PBE
State: relaxed

Results
Final energy ... -7.77 eV/f.u.
Magnetic moment ... 0.0 μB per cell
Crystal system ... orthorhombic
Calculated formation energy ... -7 kJ/mol of formula units
E above lowest polymorph ... 0.0000 eV/atom
Calculated density ... 3.205 g/cm3

Unit cell a=4.8558 b=6.9619 c=6.9621 alpha=58.66 beta=69.54 gamma=69.55
Closest atoms and distances in Å follow each position.
Atoms (fractional coordinates):
Rb: 0.0668 0.8466 0.0205  3 Ga 3.67-3.95, 2 In 3.96-3.99, 1 Rb 4.08
Rb: 0.4332 0.4795 0.6534  3 Ga 3.67-3.95, 2 In 3.96-3.99, 1 Rb 4.08
Ga: 0.7500 0.0083 0.4917  2 In 2.65
In: 0.2500 0.1656 0.3344  2 Ga 2.65

***

2.
Material: RbIn9Ga2
Method: DFT, PBE
State: relaxed

Results
Final energy ... -31.41 eV/f.u.
Magnetic moment ... 0.0 μB per cell
Crystal system ... hexagonal
Calculated formation energy ... 25 kJ/mol of formula units
E above lowest polymorph ... 0.0397 eV/atom
Calculated density ... 5.823 g/cm3

Unit cell a=4.4776 b=9.6193 c=9.6193 alpha=120.00 beta=90.00 gamma=90.00
Closest atoms and distances in Å follow each position.
Atoms (fractional coordinates):
In: 0.0000 0.0000 0.5000  2 Ga 2.78
In: 0.5000 0.7962 0.2038  2 Ga 3.11, 6 In 3.37-3.40
In: 0.5000 0.4076 0.2038  2 Ga 3.11, 6 In 3.37-3.40
In: 0.5000 0.5924 0.7962  2 Ga 3.11, 6 In 3.37-3.40
In: 0.5000 0.2038 0.4076  2 Ga 3.11, 6 In 3.37-3.40
In: 0.5000 0.7962 0.5924  2 Ga 3.11, 6 In 3.37-3.40
In: 0.0000 0.5000 0.0000  2 Ga 2.78
In: 0.5000 0.2038 0.7962  2 Ga 3.11, 6 In 3.37-3.40
In: 0.0000 0.5000 0.5000  2 Ga 2.78
Ga: 0.0000 0.3333 0.6667  9 In 2.78-3.11
Ga: 0.0000 0.6667 0.3333  9 In 2.78-3.11
Rb: 0.0000 0.0000 0.0000  12 In 4.07, 2 Rb 4.48

***

3.
Material: RbInGa4
Method: DFT, PBE
State: relaxed

Results
Final energy ... -16.17 eV/f.u.
Magnetic moment ... 0.0 μB per cell
Crystal system ... orthorhombic
Calculated formation energy ... -34 kJ/mol of formula units
E above lowest polymorph ... 0.0000 eV/atom
Calculated density ... 5.034 g/cm3

Unit cell a=4.4400 b=8.5007 c=16.7527 alpha=90.00 beta=90.00 gamma=90.00
Closest atoms and distances in Å follow each position.
Atoms (fractional coordinates):
Rb: 0.0000 0.3702 0.6506  14 Ga 3.54-3.82
Rb: 0.0000 0.8702 0.8494  14 Ga 3.54-3.82
Rb: 0.0000 0.1298 0.1506  14 Ga 3.54-3.82
Rb: 0.0000 0.6298 0.3494  14 Ga 3.54-3.82
In: 0.0000 0.8595 0.5899  10 Ga 3.03-3.24
In: 0.0000 0.3595 0.9101  10 Ga 3.03-3.24
In: 0.0000 0.1405 0.4101  10 Ga 3.03-3.24
In: 0.0000 0.6405 0.0899  10 Ga 3.03-3.24
Ga: 0.5000 0.5152 0.8063  3 Ga 2.55-2.59
Ga: 0.5000 0.3865 0.0500  3 Ga 2.55-2.56
Ga: 0.5000 0.9848 0.3063  3 Ga 2.55-2.59
Ga: 0.5000 0.1365 0.9648  3 Ga 2.56-2.62
Ga: 0.5000 0.4848 0.1937  3 Ga 2.55-2.59
Ga: 0.5000 0.1135 0.5500  3 Ga 2.55-2.56
Ga: 0.5000 0.8635 0.0352  3 Ga 2.56-2.62
Ga: 0.5000 0.8865 0.4500  3 Ga 2.55-2.56
Ga: 0.5000 0.6135 0.9500  3 Ga 2.55-2.56
Ga: 0.5000 0.7897 0.1872  3 Ga 2.59-2.62
Ga: 0.5000 0.2897 0.3128  3 Ga 2.59-2.62
Ga: 0.5000 0.3635 0.4648  3 Ga 2.56-2.62
Ga: 0.5000 0.6365 0.5352  3 Ga 2.56-2.62
Ga: 0.5000 0.0152 0.6937  3 Ga 2.55-2.59
Ga: 0.5000 0.7103 0.6872  3 Ga 2.59-2.62
Ga: 0.5000 0.2103 0.8128  3 Ga 2.59-2.62

***

4.
Material: RbIn2Ga
Method: DFT, PBE
State: relaxed

Results
Final energy ... -9.62 eV/f.u.
Magnetic moment ... 0.0 μB per cell
Crystal system ... triclinic
Calculated formation energy ... -15 kJ/mol of formula units
Calculated density ... 5.238 g/cm3

Unit cell a=3.3319 b=7.0024 c=12.3340 alpha=115.01 beta=97.69 gamma=103.86
Closest atoms and distances in Å follow each position.
Atoms (fractional coordinates):
Rb: 0.5884 0.5829 0.9479  2 Rb 3.33
Rb: 0.0726 0.9768 0.5231  2 Rb 3.33
In: 0.4678 0.0350 0.2480  3 Ga 2.86-3.02
In: 0.1928 0.5241 0.2228  3 Ga 2.86-3.02
In: 0.9229 0.5538 0.6532  2 Ga 2.99-3.00, 4 In 3.22-3.33
In: 0.7377 0.0063 0.8177  2 Ga 3.00, 4 In 3.22-3.33
Ga: 0.4151 0.1356 0.0454  5 In 2.86-3.02
Ga: 0.2462 0.4237 0.4254  5 In 2.86-3.02

***

5.
Material: RbIn2Ga3
Method: DFT, PBE
State: relaxed

Results
Final energy ... -14.25 eV/f.u.
Magnetic moment ... 0.0 μB per cell
Crystal system ... cubic
Calculated formation energy ... 123 kJ/mol of formula units
Calculated density ... 4.686 g/cm3

Unit cell a=10.1673 b=10.1673 c=10.1673 alpha=60.00 beta=60.00 gamma=60.00
Closest atoms and distances in Å follow each position.
Atoms (fractional coordinates):
In: 0.7376 0.7376 0.7376  3 Ga 2.81
In: 0.2624 0.2624 0.2624  3 Ga 2.81
In: 0.2624 0.7128 0.2624  3 Ga 2.81
In: 0.2872 0.7376 0.7376  3 Ga 2.81
In: 0.7376 0.7376 0.2872  3 Ga 2.81
In: 0.7128 0.2624 0.2624  3 Ga 2.81
In: 0.2624 0.2624 0.7128  3 Ga 2.81
In: 0.7376 0.2872 0.7376  3 Ga 2.81
Ga: 0.3991 0.3991 0.8509  2 In 2.81
Ga: 0.3991 0.8509 0.8509  2 In 2.81
Ga: 0.1491 0.6009 0.6009  2 In 2.81
Ga: 0.8509 0.3991 0.3991  2 In 2.81
Ga: 0.8509 0.8509 0.3991  2 In 2.81
Ga: 0.6009 0.6009 0.1491  2 In 2.81
Ga: 0.3991 0.8509 0.3991  2 In 2.81
Ga: 0.6009 0.1491 0.6009  2 In 2.81
Ga: 0.6009 0.1491 0.1491  2 In 2.81
Ga: 0.1491 0.1491 0.6009  2 In 2.81
Ga: 0.8509 0.3991 0.8509  2 In 2.81
Ga: 0.1491 0.6009 0.1491  2 In 2.81
Rb: 0.0000 0.0000 0.0000  6 Ga 3.33
Rb: 0.0000 0.0000 0.5000  6 Ga 3.33
Rb: 0.0000 0.5000 0.0000  6 Ga 3.33
Rb: 0.5000 0.0000 0.0000  6 Ga 3.33

***

6.
Material: RbIn7Ga5
Method: DFT, PBE
State: relaxed

Results
Final energy ... -35.37 eV/f.u.
Magnetic moment ... 0.0 μB per cell
Crystal system ... orthorhombic
Calculated formation energy ... -9 kJ/mol of formula units
Calculated density ... 6.181 g/cm3

Unit cell a=6.0576 b=8.0064 c=8.0064 alpha=80.11 beta=67.77 gamma=67.77
Closest atoms and distances in Å follow each position.
Atoms (fractional coordinates):
In: 0.5022 0.2096 0.7860  5 Ga 3.05-3.22, 5 In 3.24-3.36
In: 0.9961 0.6518 0.3559  4 In 3.05-3.36, 5 Ga 3.19-3.29
In: 0.9961 0.3559 0.6518  4 In 3.05-3.36, 5 Ga 3.19-3.29
In: 0.2775 0.2225 0.2225  4 Ga 3.08, 6 In 3.24-3.36
In: 0.6484 0.3516 0.3516  5 In 3.12-3.35, 4 Ga 3.24
In: 0.5022 0.7860 0.2096  5 Ga 3.05-3.22, 5 In 3.24-3.36
In: 0.3554 0.6446 0.6446  3 In 3.12-3.36, 6 Ga 3.13-3.33
Ga: 0.7245 0.7755 0.7755  4 Ga 2.93, 4 In 3.22-3.27
Ga: 0.4995 0.9933 0.5092  3 Ga 2.93-3.04, 6 In 3.05-3.24
Ga: 0.4995 0.5092 0.9933  3 Ga 2.93-3.04, 6 In 3.05-3.24
Ga: 0.9981 0.9933 0.5092  3 Ga 2.93-3.04, 6 In 3.05-3.24
Ga: 0.9981 0.5092 0.9933  3 Ga 2.93-3.04, 6 In 3.05-3.24
Rb: 0.0025 0.9975 0.9975  10 In 3.63-3.86, 6 Ga 3.84-3.93